[1]
{"formula": "YAlBr2", "functional": "PBE-GGA", "state": "relaxed", "crystal_system": "tetragonal", "e_form_raw_ev_per_fu": -2.15, "e_above_lowest_polymorph_ev_per_fu": 1.16, "cell": [[-1.275, -2.853, -5.667], [-4.659, -4.368, -1.042], [1.074, 5.789, 2.683]], "species": ["Br", "Br", "Y", "Al"], "fractional_positions": [[0.250, 0.750, 0.500], [0.000, 0.000, 0.000], [0.500, 0.500, 0.000], [0.750, 0.250, 0.500]]}

***

[2]
{"formula": "YAl2Br", "functional": "PBE-GGA", "state": "relaxed", "crystal_system": "tetragonal", "e_form_raw_ev_per_fu": -0.56, "e_above_lowest_polymorph_ev_per_fu": 1.13, "cell": [[5.224, 0.000, 0.000], [0.000, 5.224, 0.000], [0.000, 0.000, 3.512]], "species": ["Al", "Al", "Y", "Br"], "fractional_positions": [[0.000, 0.000, 0.000], [0.500, 0.500, 0.000], [0.000, 0.500, 0.500], [0.500, 0.000, 0.500]]}

***

[3]
{"formula": "YAl2Br", "functional": "PBE-GGA", "state": "relaxed", "crystal_system": "trigonal", "e_form_raw_ev_per_fu": -0.33, "e_above_lowest_polymorph_ev_per_fu": 1.37, "cell": [[9.447, 0.004, 0.003], [8.819, 3.386, 0.003], [8.819, 1.637, 2.964]], "species": ["Br", "Al", "Al", "Y"], "fractional_positions": [[0.250, 0.250, 0.250], [0.504, 0.504, 0.504], [0.996, 0.996, 0.996], [0.750, 0.750, 0.750]]}

***

[4]
{"formula": "YAl2Br", "functional": "PBE-GGA", "state": "relaxed", "crystal_system": "monoclinic", "e_form_raw_ev_per_fu": -0.92, "e_above_lowest_polymorph_ev_per_fu": 0.77, "cell": [[-2.656, -3.005, 4.294], [-2.020, -5.172, -1.922], [4.785, 3.289, 0.880]], "species": ["Al", "Al", "Br", "Y"], "fractional_positions": [[0.768, 0.268, 0.500], [0.987, 0.987, 0.000], [0.496, 0.496, 0.000], [0.249, 0.749, 0.500]]}